--- one ---
DFT (PBE) results for a relaxed TaTiS2Cl crystal.

Results
As for the crystal system: tetragonal. The density of states at the Fermi level comes out at 1.217 states/eV per atom.

a = 4.7395 Å, b = 4.7395 Å, c = 4.5220 Å
α = 90.00°, β = 90.00°, γ = 90.00°
Sites, in units of the cell vectors:
Cl 0.0000 0.0000 0.5000
S 0.0000 0.5000 0.0000
S 0.5000 0.0000 0.0000
Ta 0.5000 0.5000 0.5000
Ti 0.0000 0.0000 0.0000



--- two ---
DFT (PBE) results for a relaxed TaTiS2Cl crystal.

Results
As for the crystal system: tetragonal. The density of states at the Fermi level comes out at 1.054 states/eV per atom.

a = 4.7979 Å, b = 4.7979 Å, c = 4.7621 Å
α = 90.00°, β = 90.00°, γ = 90.00°
Sites, in units of the cell vectors:
S 0.5000 0.0000 0.0000
S 0.0000 0.5000 0.0000
Ta 0.0000 0.0000 0.0000
Ti 0.5000 0.5000 0.5000
Cl 0.0000 0.0000 0.5000



Of them, two has the highest stability.



--- one ---
DFT (PBE) results for a relaxed TaTiSCl2 crystal.

Results
As for the crystal system: tetragonal. The density of states at the Fermi level comes out at 2.409 states/eV per atom.

a = 4.8339 Å, b = 4.8339 Å, c = 4.7908 Å
α = 90.00°, β = 90.00°, γ = 90.00°
Sites, in units of the cell vectors:
Ti 0.5000 0.5000 0.5000
S 0.0000 0.0000 0.5000
Ta 0.0000 0.0000 0.0000
Cl 0.5000 0.0000 0.0000
Cl 0.0000 0.5000 0.0000



--- two ---
DFT (PBE) results for a relaxed TaTiSCl2 crystal.

Results
As for the crystal system: tetragonal. The density of states at the Fermi level comes out at 1.533 states/eV per atom.

a = 4.6537 Å, b = 4.6537 Å, c = 4.9312 Å
α = 90.00°, β = 90.00°, γ = 90.00°
Sites, in units of the cell vectors:
S 0.0000 0.0000 0.5000
Cl 0.5000 0.0000 0.0000
Cl 0.0000 0.5000 0.0000
Ti 0.0000 0.0000 0.0000
Ta 0.5000 0.5000 0.5000



Of them, one has the highest stability.



--- one ---
DFT (PBE) results for a relaxed TaTlS2Cl crystal.

Results
As for the crystal system: tetragonal. The density of states at the Fermi level comes out at 0.480 states/eV per atom.

a = 4.8555 Å, b = 4.8555 Å, c = 4.9632 Å
α = 90.00°, β = 90.00°, γ = 90.00°
Sites, in units of the cell vectors:
Ta 0.0000 0.0000 0.0000
S 0.5000 0.0000 0.0000
S 0.0000 0.5000 0.0000
Cl 0.0000 0.0000 0.5000
Tl 0.5000 0.5000 0.5000



--- two ---
DFT (PBE) results for a relaxed TaTlS2Cl crystal.

Results
As for the crystal system: tetragonal. The density of states at the Fermi level comes out at 1.280 states/eV per atom.

a = 5.1093 Å, b = 5.1093 Å, c = 5.0049 Å
α = 90.00°, β = 90.00°, γ = 90.00°
Sites, in units of the cell vectors:
Ta 0.5000 0.5000 0.5000
S 0.0000 0.5000 0.0000
S 0.5000 0.0000 0.0000
Cl 0.0000 0.0000 0.5000
Tl 0.0000 0.0000 0.0000



Of them, one has the highest stability.



--- one ---
DFT (PBE) results for a relaxed TaWSCl2 crystal.

Results
As for the crystal system: tetragonal. The density of states at the Fermi level comes out at 0.547 states/eV per atom.

a = 4.8033 Å, b = 4.8033 Å, c = 4.9119 Å
α = 90.00°, β = 90.00°, γ = 90.00°
Sites, in units of the cell vectors:
Cl 0.0000 0.5000 0.0000
Cl 0.5000 0.0000 0.0000
W 0.5000 0.5000 0.5000
Ta 0.0000 0.0000 0.0000
S 0.0000 0.0000 0.5000



--- two ---
DFT (PBE) results for a relaxed TaWSCl2 crystal.

Results
As for the crystal system: tetragonal. The density of states at the Fermi level comes out at 1.438 states/eV per atom.

a = 4.7936 Å, b = 4.7936 Å, c = 4.6767 Å
α = 90.00°, β = 90.00°, γ = 90.00°
Sites, in units of the cell vectors:
S 0.0000 0.0000 0.5000
Ta 0.5000 0.5000 0.5000
Cl 0.0000 0.5000 0.0000
Cl 0.5000 0.0000 0.0000
W 0.0000 0.0000 0.0000



Of them, one has the highest stability.



--- one ---
DFT (PBE) results for a relaxed YTaSCl2 crystal.

Results
As for the crystal system: tetragonal. The density of states at the Fermi level comes out at 1.380 states/eV per atom.

a = 5.1507 Å, b = 5.1507 Å, c = 5.4216 Å
α = 90.00°, β = 90.00°, γ = 90.00°
Sites, in units of the cell vectors:
Y 0.0000 0.0000 0.0000
Ta 0.5000 0.5000 0.5000
Cl 0.5000 0.0000 0.0000
Cl 0.0000 0.5000 0.0000
S 0.0000 0.0000 0.5000



--- two ---
DFT (PBE) results for a relaxed YTaSCl2 crystal.

Results
As for the crystal system: tetragonal. The density of states at the Fermi level comes out at 1.006 states/eV per atom.

a = 4.8321 Å, b = 4.8321 Å, c = 4.7925 Å
α = 90.00°, β = 90.00°, γ = 90.00°
Sites, in units of the cell vectors:
S 0.0000 0.0000 0.5000
Y 0.5000 0.5000 0.5000
Cl 0.0000 0.5000 0.0000
Cl 0.5000 0.0000 0.0000
Ta 0.0000 0.0000 0.0000



Of them, two has the highest stability.



--- one ---
DFT (PBE) results for a relaxed YTaS2Cl crystal.

Results
As for the crystal system: tetragonal. The density of states at the Fermi level comes out at 1.248 states/eV per atom.

a = 5.2459 Å, b = 5.2459 Å, c = 4.9638 Å
α = 90.00°, β = 90.00°, γ = 90.00°
Sites, in units of the cell vectors:
Cl 0.0000 0.0000 0.5000
S 0.5000 0.0000 0.0000
S 0.0000 0.5000 0.0000
Y 0.0000 0.0000 0.0000
Ta 0.5000 0.5000 0.5000



--- two ---
DFT (PBE) results for a relaxed YTaS2Cl crystal.

Results
As for the crystal system: tetragonal. The density of states at the Fermi level comes out at 0.940 states/eV per atom.

a = 4.7853 Å, b = 4.7853 Å, c = 4.7800 Å
α = 90.00°, β = 90.00°, γ = 90.00°
Sites, in units of the cell vectors:
Y 0.5000 0.5000 0.5000
S 0.5000 0.0000 0.0000
S 0.0000 0.5000 0.0000
Cl 0.0000 0.0000 0.5000
Ta 0.0000 0.0000 0.0000



Of them, two has the highest stability.



--- one ---
DFT (PBE) results for a relaxed TaZnSCl2 crystal.

Results
As for the crystal system: tetragonal. The density of states at the Fermi level comes out at 0.832 states/eV per atom.

a = 4.5860 Å, b = 4.5860 Å, c = 4.9845 Å
α = 90.00°, β = 90.00°, γ = 90.00°
Sites, in units of the cell vectors:
Zn 0.0000 0.0000 0.0000
Cl 0.5000 0.0000 0.0000
Cl 0.0000 0.5000 0.0000
S 0.0000 0.0000 0.5000
Ta 0.5000 0.5000 0.5000



--- two ---
DFT (PBE) results for a relaxed TaZnSCl2 crystal.

Results
As for the crystal system: tetragonal. The density of states at the Fermi level comes out at 0.396 states/eV per atom.

a = 4.9238 Å, b = 4.9238 Å, c = 4.7657 Å
α = 90.00°, β = 90.00°, γ = 90.00°
Sites, in units of the cell vectors:
Zn 0.5000 0.5000 0.5000
Ta 0.0000 0.0000 0.0000
S 0.0000 0.0000 0.5000
Cl 0.0000 0.5000 0.0000
Cl 0.5000 0.0000 0.0000



Of them, two has the highest stability.



--- one ---
DFT (PBE) results for a relaxed TcSCl crystal.

Results
As for the crystal system: monoclinic. The density of states at the Fermi level comes out at 0.724 states/eV per atom.

a = 3.0963 Å, b = 6.2957 Å, c = 7.7538 Å
α = 88.14°, β = 90.00°, γ = 104.24°
Sites, in units of the cell vectors:
S 0.1342 0.2683 0.8905
S 0.8658 0.7317 0.1095
Cl 0.1258 0.2516 0.3339
Cl 0.8742 0.7484 0.6661
Tc 0.3220 0.6441 0.8997
Tc 0.6780 0.3559 0.1003



--- two ---
DFT (PBE) results for a relaxed TcSCl crystal.

Results
As for the crystal system: triclinic. The density of states at the Fermi level comes out at 0.540 states/eV per atom.

a = 3.4627 Å, b = 6.7056 Å, c = 7.5229 Å
α = 102.04°, β = 77.44°, γ = 89.83°
Sites, in units of the cell vectors:
S 0.1545 0.1644 0.6999
S 0.8455 0.8356 0.3001
Tc 0.3042 0.0615 0.3848
Tc 0.6958 0.9385 0.6152
Cl 0.6128 0.6993 0.7907
Cl 0.3872 0.3007 0.2093



Of them, one has the highest stability.